Entry 1:
Below is a relaxed structure of NaCd2Pd, with properties calculated at the PBE-GGA level.

extended XYZ file:
```
4
Lattice="-0.436 -2.822 1.608 1.784 1.148 2.498 -6.542 2.911 3.334" Properties=species:S:1:pos:R:3 pbc="T T T"
Cd -5.180 2.305 2.640
Cd -1.362 0.606 0.694
Pd 0.674 -0.837 2.053
Na -2.597 0.619 3.720
```

## Properties
- Space group: P4/mmm (123)
- Formation enthalpy at 0 K: -209 meV/atom
- Crystal system: tetragonal
- M_tot: 0.00 μB/f.u.
- Fermi-level density of states: 0.332 states/eV per atom

***

Entry 2:
Below is a relaxed structure of NaCd9Pd3, with properties calculated at the PBE-GGA level.

extended XYZ file:
```
13
Lattice="5.322 0.017 2.160 2.581 6.844 1.048 0.039 0.009 7.540" Properties=species:S:1:pos:R:3 pbc="T T T"
Cd 4.632 5.382 3.554
Cd 4.378 2.243 4.346
Cd 0.885 2.234 5.314
Cd 3.310 1.488 7.194
Cd 2.105 1.479 2.528
Cd 3.564 4.627 6.402
Cd 5.837 5.391 8.220
Cd 7.057 4.636 5.433
Cd 1.291 3.422 0.524
Pd 3.952 3.431 1.604
Pd 2.680 0.013 4.850
Pd 0.019 0.004 3.770
Na 0.000 0.000 0.000
```

## Properties
- Space group: C2/m (12)
- Formation enthalpy at 0 K: -246 meV/atom
- Crystal system: monoclinic
- M_tot: 0.00 μB/f.u.
- Fermi-level density of states: 0.238 states/eV per atom

***

Entry 3:
Below is a relaxed structure of Na2Cd4Pd, with properties calculated at the PBE-GGA level.

extended XYZ file:
```
7
Lattice="5.237 0.000 0.000 0.000 5.237 0.000 2.618 2.618 7.813" Properties=species:S:1:pos:R:3 pbc="T T T"
Cd 5.237 5.237 2.679
Cd 2.618 0.000 0.000
Cd 2.618 2.618 5.134
Cd 0.000 2.618 0.000
Pd 0.000 0.000 0.000
Na 5.237 5.237 5.767
Na 2.618 2.618 2.047
```

## Properties
- Space group: I4/mmm (139)
- Formation enthalpy at 0 K: -20 meV/atom
- Crystal system: tetragonal
- M_tot: 0.00 μB/f.u.
- Fermi-level density of states: 0.430 states/eV per atom

***

Entry 4:
Below is a relaxed structure of NaCd3Pd, with properties calculated at the PBE-GGA level.

extended XYZ file:
```
5
Lattice="-0.616 -1.395 -5.007 0.825 -5.005 1.293 -5.132 -0.637 0.809" Properties=species:S:1:pos:R:3 pbc="T T T"
Na -2.462 -3.518 -1.453
Cd -0.308 -0.698 -2.504
Cd -2.566 -0.318 0.405
Cd 0.412 -2.502 0.646
Pd 0.000 0.000 0.000
```

## Properties
- Space group: Pm-3m (221)
- Formation enthalpy at 0 K: -102 meV/atom
- Crystal system: cubic
- M_tot: 0.00 μB/f.u.
- Fermi-level density of states: 0.476 states/eV per atom